[1]
Compound: NaPbI2Br
Source: Alexandria
Functional: PBE
Structure: optimized geometry

Geometry as CIF:
```
data_NaPbI2Br
_chemical_formula_sum 'Na2 Pb2 I4 Br2'
_cell_length_a 4.5236
_cell_length_b 7.8562
_cell_length_c 10.3760
_cell_angle_alpha 90.00
_cell_angle_beta 90.00
_cell_angle_gamma 106.73
_symmetry_space_group_name_H-M 'P 1'
_symmetry_Int_Tables_number 1
loop_
_symmetry_equiv_pos_as_xyz
'x,y,z'
loop_
_atom_site_label
_atom_site_type_symbol
_atom_site_fract_x
_atom_site_fract_y
_atom_site_fract_z
_atom_site_occupancy
Na1 Na 0.0000 0.0000 0.5000 1
Na2 Na 0.0000 0.0000 0.0000 1
Pb1 Pb 0.2677 0.5354 0.7500 1
Pb2 Pb 0.7323 0.4646 0.2500 1
I1 I 0.6475 0.2950 0.5613 1
I2 I 0.3525 0.7050 0.4387 1
I3 I 0.3525 0.7050 0.0613 1
I4 I 0.6475 0.2950 0.9387 1
Br1 Br 0.9060 0.8120 0.7500 1
Br2 Br 0.0940 0.1880 0.2500 1
```

Summary:
Formation energy (no corrections) = -0.95 eV per atom
Space group = No. 63
Spin magnetization = 0.0 μB per cell

[2]
Compound: ErThCu4
Source: Alexandria
Functional: PBE
Structure: optimized geometry

Geometry as CIF:
```
data_ErThCu4
_chemical_formula_sum 'Er1 Th1 Cu4'
_cell_length_a 5.2997
_cell_length_b 5.2997
_cell_length_c 5.2997
_cell_angle_alpha 60.00
_cell_angle_beta 60.00
_cell_angle_gamma 60.00
_symmetry_space_group_name_H-M 'P 1'
_symmetry_Int_Tables_number 1
loop_
_symmetry_equiv_pos_as_xyz
'x,y,z'
loop_
_atom_site_label
_atom_site_type_symbol
_atom_site_fract_x
_atom_site_fract_y
_atom_site_fract_z
_atom_site_occupancy
Cu1 Cu 0.6257 0.6257 0.1228 1
Cu2 Cu 0.6257 0.1228 0.6257 1
Cu3 Cu 0.6257 0.6257 0.6257 1
Cu4 Cu 0.1228 0.6257 0.6257 1
Th1 Th 0.2500 0.2500 0.2500 1
Er1 Er 0.0000 0.0000 0.0000 1
```

Summary:
Energy of formation from the pure elements = -0.1077 eV/atom
Energy above the most stable polymorph in this dataset = 126 meV/atom
Space group = No. 216
Spin magnetization = 0.0 μB per cell

[3]
Compound: SrAgBiPd
Source: Alexandria
Functional: PBE
Structure: optimized geometry

Geometry as CIF:
```
data_SrAgBiPd
_chemical_formula_sum 'Sr1 Ag1 Bi1 Pd1'
_cell_length_a 5.1578
_cell_length_b 5.1578
_cell_length_c 5.1578
_cell_angle_alpha 60.00
_cell_angle_beta 60.00
_cell_angle_gamma 60.00
_symmetry_space_group_name_H-M 'P 1'
_symmetry_Int_Tables_number 1
loop_
_symmetry_equiv_pos_as_xyz
'x,y,z'
loop_
_atom_site_label
_atom_site_type_symbol
_atom_site_fract_x
_atom_site_fract_y
_atom_site_fract_z
_atom_site_occupancy
Sr1 Sr 0.5000 0.5000 0.5000 1
Pd1 Pd 0.7500 0.7500 0.7500 1
Bi1 Bi 0.0000 0.0000 0.0000 1
Ag1 Ag 0.2500 0.2500 0.2500 1
```

Summary:
Energy of formation from the pure elements = -0.3954 eV/atom
Space group = No. 216
Spin magnetization = 0.0 μB per cell

[4]
Compound: LuTaCuOs
Source: Alexandria
Functional: PBE
Structure: optimized geometry

Geometry as CIF:
```
data_LuTaCuOs
_chemical_formula_sum 'Lu1 Ta1 Cu1 Os1'
_cell_length_a 4.5987
_cell_length_b 4.5987
_cell_length_c 4.5987
_cell_angle_alpha 60.00
_cell_angle_beta 60.00
_cell_angle_gamma 60.00
_symmetry_space_group_name_H-M 'P 1'
_symmetry_Int_Tables_number 1
loop_
_symmetry_equiv_pos_as_xyz
'x,y,z'
loop_
_atom_site_label
_atom_site_type_symbol
_atom_site_fract_x
_atom_site_fract_y
_atom_site_fract_z
_atom_site_occupancy
Lu1 Lu 0.2500 0.2500 0.2500 1
Os1 Os 0.0000 0.0000 0.0000 1
Cu1 Cu 0.5000 0.5000 0.5000 1
Ta1 Ta 0.7500 0.7500 0.7500 1
```

Summary:
Energy of formation from the pure elements = -0.1587 eV/atom
Space group = No. 216
Spin magnetization = 0.0 μB per cell

[5]
Compound: ScCoAs2
Source: Alexandria
Functional: PBE
Structure: optimized geometry

Geometry as CIF:
```
data_ScCoAs2
_chemical_formula_sum 'Sc1 Co1 As2'
_cell_length_a 5.1238
_cell_length_b 5.1238
_cell_length_c 4.5490
_cell_angle_alpha 74.90
_cell_angle_beta 74.90
_cell_angle_gamma 37.32
_symmetry_space_group_name_H-M 'P 1'
_symmetry_Int_Tables_number 1
loop_
_symmetry_equiv_pos_as_xyz
'x,y,z'
loop_
_atom_site_label
_atom_site_type_symbol
_atom_site_fract_x
_atom_site_fract_y
_atom_site_fract_z
_atom_site_occupancy
As1 As 0.0030 0.0030 0.1233 1
As2 As 0.7655 0.7655 0.6750 1
Co1 Co 0.4617 0.4617 0.5316 1
Sc1 Sc 0.2697 0.2697 0.1701 1
```

Summary:
Energy of formation from the pure elements = -0.4346 eV/atom
Space group = No. 8
Spin magnetization = 0.8 μB per cell

[6]
Compound: CsLaBeSe3
Source: Alexandria
Functional: PBE
Structure: optimized geometry

Geometry as CIF:
```
data_CsLaBeSe3
_chemical_formula_sum 'Cs2 La2 Be2 Se6'
_cell_length_a 4.2289
_cell_length_b 10.1425
_cell_length_c 9.9946
_cell_angle_alpha 109.41
_cell_angle_beta 90.00
_cell_angle_gamma 90.00
_symmetry_space_group_name_H-M 'P 1'
_symmetry_Int_Tables_number 1
loop_
_symmetry_equiv_pos_as_xyz
'x,y,z'
loop_
_atom_site_label
_atom_site_type_symbol
_atom_site_fract_x
_atom_site_fract_y
_atom_site_fract_z
_atom_site_occupancy
Cs1 Cs 0.2500 0.2003 0.2358 1
Cs2 Cs 0.7500 0.7997 0.7642 1
La1 La 0.2500 0.6678 0.1560 1
La2 La 0.7500 0.3322 0.8440 1
Be1 Be 0.2500 0.0731 0.6064 1
Be2 Be 0.7500 0.9269 0.3936 1
Se1 Se 0.7500 0.8809 0.1628 1
Se2 Se 0.2500 0.1191 0.8372 1
Se3 Se 0.2500 0.8471 0.4713 1
Se4 Se 0.7500 0.1529 0.5287 1
Se5 Se 0.7500 0.4622 0.1600 1
Se6 Se 0.2500 0.5378 0.8400 1
```

Summary:
Formation energy (no corrections) = -1.43 eV per atom
Space group = No. 11
Spin magnetization = 0.0 μB per cell

[7]
Compound: HgSeF5
Source: Alexandria
Functional: PBE
Structure: optimized geometry

Geometry as CIF:
```
data_HgSeF5
_chemical_formula_sum 'Hg2 Se2 F10'
_cell_length_a 5.3860
_cell_length_b 6.8267
_cell_length_c 8.2432
_cell_angle_alpha 105.13
_cell_angle_beta 88.88
_cell_angle_gamma 98.50
_symmetry_space_group_name_H-M 'P 1'
_symmetry_Int_Tables_number 1
loop_
_symmetry_equiv_pos_as_xyz
'x,y,z'
loop_
_atom_site_label
_atom_site_type_symbol
_atom_site_fract_x
_atom_site_fract_y
_atom_site_fract_z
_atom_site_occupancy
Hg1 Hg 0.8615 0.1911 0.0971 1
Hg2 Hg 0.1336 0.3388 0.3682 1
Se1 Se 0.4832 0.1946 0.7186 1
Se2 Se 0.5302 0.7813 0.2884 1
F1 F 0.4314 0.0344 0.2781 1
F2 F 0.6309 0.0480 0.8585 1
F3 F 0.5860 0.5076 0.2746 1
F4 F 0.7539 0.7982 0.1155 1
F5 F 0.3003 0.6683 0.1325 1
F6 F 0.2666 0.7436 0.4454 1
F7 F 0.6516 0.4144 0.8494 1
F8 F 0.7697 0.1822 0.5842 1
F9 F 0.2242 0.2316 0.8711 1
F10 F 0.3640 0.3835 0.6094 1
```

Summary:
Formation energy (no corrections) = -1.56 eV per atom
Space group = No. 1
Spin magnetization = 0.0 μB per cell

[8]
Compound: Rb2ReSBr5
Source: Alexandria
Functional: PBE
Structure: optimized geometry

Geometry as CIF:
```
data_Rb2ReSBr5
_chemical_formula_sum 'Rb2 Re1 S1 Br5'
_cell_length_a 7.5234
_cell_length_b 7.5234
_cell_length_c 7.5234
_cell_angle_alpha 91.02
_cell_angle_beta 119.41
_cell_angle_gamma 119.41
_symmetry_space_group_name_H-M 'P 1'
_symmetry_Int_Tables_number 1
loop_
_symmetry_equiv_pos_as_xyz
'x,y,z'
loop_
_atom_site_label
_atom_site_type_symbol
_atom_site_fract_x
_atom_site_fract_y
_atom_site_fract_z
_atom_site_occupancy
Rb1 Rb 0.5000 0.2517 0.7517 1
Rb2 Rb 0.5000 0.7517 0.2517 1
Re1 Re 0.0000 0.9819 0.9819 1
S1 S 0.0000 0.7759 0.7759 1
Br1 Br 0.4737 0.2378 0.2378 1
Br2 Br 0.5263 0.7642 0.7642 1
Br3 Br 0.0000 0.7642 0.2378 1
Br4 Br 0.0000 0.2378 0.7642 1
Br5 Br 0.0000 0.2347 0.2347 1
```

Summary:
Formation energy (no corrections) = -0.89 eV per atom
Space group = No. 107
Spin magnetization = 2.0 μB per cell

[9]
Compound: Pm4ZnSiTe2
Source: Alexandria
Functional: PBE
Structure: optimized geometry

Geometry as CIF:
```
data_Pm4ZnSiTe2
_chemical_formula_sum 'Pm4 Zn1 Si1 Te2'
_cell_length_a 4.3138
_cell_length_b 7.3630
_cell_length_c 7.8125
_cell_angle_alpha 108.41
_cell_angle_beta 90.00
_cell_angle_gamma 90.00
_symmetry_space_group_name_H-M 'P 1'
_symmetry_Int_Tables_number 1
loop_
_symmetry_equiv_pos_as_xyz
'x,y,z'
loop_
_atom_site_label
_atom_site_type_symbol
_atom_site_fract_x
_atom_site_fract_y
_atom_site_fract_z
_atom_site_occupancy
Pm1 Pm 0.5000 0.2342 0.2278 1
Pm2 Pm 0.5000 0.7658 0.7722 1
Pm3 Pm 0.0000 0.2463 0.7610 1
Pm4 Pm 0.0000 0.7537 0.2390 1
Zn1 Zn 0.5000 0.5000 0.0000 1
Si1 Si 0.0000 0.0000 0.0000 1
Te1 Te 0.5000 0.0000 0.5000 1
Te2 Te 0.0000 0.5000 0.5000 1
```

Summary:
Formation energy (no corrections) = -0.95 eV per atom
Space group = No. 10
Spin magnetization = 0.0 μB per cell

[10]
Compound: LiI
Source: Alexandria
Functional: PBE
Structure: optimized geometry

Geometry as CIF:
```
data_LiI
_chemical_formula_sum 'Li2 I2'
_cell_length_a 4.6569
_cell_length_b 4.6569
_cell_length_c 8.0602
_cell_angle_alpha 73.67
_cell_angle_beta 73.67
_cell_angle_gamma 60.00
_symmetry_space_group_name_H-M 'P 1'
_symmetry_Int_Tables_number 1
loop_
_symmetry_equiv_pos_as_xyz
'x,y,z'
loop_
_atom_site_label
_atom_site_type_symbol
_atom_site_fract_x
_atom_site_fract_y
_atom_site_fract_z
_atom_site_occupancy
Li1 Li 0.8791 0.8791 0.3595 1
Li2 Li 0.1209 0.1209 0.6405 1
I1 I 0.2415 0.2415 0.2697 1
I2 I 0.7585 0.7585 0.7303 1
```

Summary:
Energy above the most stable polymorph in this dataset = 17 meV/atom
Formation energy (no corrections) = -1.20 eV per atom
Space group = No. 12
Spin magnetization = 0.0 μB per cell

[11]
Compound: CsSrCd2Ni
Source: Alexandria
Functional: PBE
Structure: optimized geometry

Geometry as CIF:
```
data_CsSrCd2Ni
_chemical_formula_sum 'Cs1 Sr1 Cd2 Ni1'
_cell_length_a 5.3907
_cell_length_b 5.3907
_cell_length_c 5.4882
_cell_angle_alpha 90.00
_cell_angle_beta 90.00
_cell_angle_gamma 90.00
_symmetry_space_group_name_H-M 'P 1'
_symmetry_Int_Tables_number 1
loop_
_symmetry_equiv_pos_as_xyz
'x,y,z'
loop_
_atom_site_label
_atom_site_type_symbol
_atom_site_fract_x
_atom_site_fract_y
_atom_site_fract_z
_atom_site_occupancy
Cs1 Cs 0.5000 0.5000 0.5000 1
Sr1 Sr 0.0000 0.0000 0.5000 1
Ni1 Ni 0.0000 0.0000 0.0000 1
Cd1 Cd 0.0000 0.5000 0.0000 1
Cd2 Cd 0.5000 0.0000 0.0000 1
```

Summary:
Energy of formation from the pure elements = 0.0289 eV/atom
Space group = No. 123
Spin magnetization = 0.0 μB per cell

[12]
Compound: SmZnPd2
Source: Alexandria
Functional: PBE
Structure: optimized geometry

Geometry as CIF:
```
data_SmZnPd2
_chemical_formula_sum 'Sm1 Zn1 Pd2'
_cell_length_a 3.5853
_cell_length_b 4.5849
_cell_length_c 4.5849
_cell_angle_alpha 90.00
_cell_angle_beta 90.00
_cell_angle_gamma 90.00
_symmetry_space_group_name_H-M 'P 1'
_symmetry_Int_Tables_number 1
loop_
_symmetry_equiv_pos_as_xyz
'x,y,z'
loop_
_atom_site_label
_atom_site_type_symbol
_atom_site_fract_x
_atom_site_fract_y
_atom_site_fract_z
_atom_site_occupancy
Zn1 Zn 0.5000 0.0000 0.0000 1
Pd1 Pd 0.0000 0.0000 0.5000 1
Pd2 Pd 0.0000 0.5000 0.0000 1
Sm1 Sm 0.5000 0.5000 0.5000 1
```

Summary:
Energy of formation from the pure elements = -0.5701 eV/atom
Space group = No. 123
Spin magnetization = 0.0 μB per cell

Q: Among the records above, which one has the highest spin magnetization?
A: Rb2ReSBr5